UGeO2 | GGA-PBE | optimized geometry

a b c (Å): 7.2130 7.2130 7.2130
angles (deg): 120.28 120.28 89.51
Last column: nearest neighbours and their distance in Å.
Positions (direct):
1 U 0.3750 0.6250 0.2500  6 O 2.17-2.36
2 O 0.2255 0.4265 0.8320  3 U 2.17-2.36
3 O 0.1435 0.4755 0.2990  3 U 2.17-2.36
4 U 0.3750 0.1250 0.7500  6 O 2.17-2.36
5 O 0.1555 0.8565 0.3320  3 U 2.17-2.36
6 Ge 0.3750 0.1250 0.2500  6 O 2.84-2.99
7 U 0.3750 0.6250 0.7500  6 O 2.17-2.36
8 O 0.1765 0.8445 0.7010  3 U 2.17-2.36
9 Ge 0.8750 0.6250 0.7500  6 O 2.84-2.99
10 O 0.5735 0.4055 0.7990  3 U 2.17-2.36
11 O 0.5945 0.3935 0.1680  3 U 2.17-2.36
12 Ge 0.8750 0.1250 0.7500  6 O 2.84-2.99
13 U 0.8750 0.6250 0.2500  6 O 2.17-2.36
14 O 0.6065 0.7745 0.2010  3 U 2.17-2.36
15 O 0.5245 0.8235 0.6680  3 U 2.17-2.36
16 Ge 0.8750 0.1250 0.2500  6 O 2.84-2.99

- energy relative to the elements, uncorrected (eV/f.u.) = -6.815
- raw total energy (eV per atom) = -8.159
- relative energy among the computed polymorphs (eV per atom) = 0.0000
- symmetry = No. 88
- V (Å³/cell) = 264.2